YP3O9 | GGA-PBE | relaxed

Cell lengths 6.982, 6.982, 7.246 Å; angles 90.00, 90.00, 105.02 degrees
Fractional coordinates of all 26 atoms:
Y1 0.127 0.127 0.000
Y2 0.873 0.873 0.500
P1 0.250 0.250 0.500
P2 0.310 0.666 0.957
P3 0.334 0.690 0.543
P4 0.666 0.310 0.043
P5 0.690 0.334 0.457
P6 0.750 0.750 0.000
O1 0.132 0.171 0.672
O2 0.171 0.132 0.328
O3 0.171 0.792 0.531
O4 0.208 0.829 0.969
O5 0.212 0.467 0.037
O6 0.251 0.473 0.453
O7 0.371 0.629 0.750
O8 0.467 0.212 0.963
O9 0.473 0.251 0.547
O10 0.527 0.749 0.047
O11 0.533 0.788 0.463
O12 0.629 0.371 0.250
O13 0.749 0.527 0.953
O14 0.788 0.533 0.537
O15 0.792 0.171 0.469
O16 0.829 0.208 0.031
O17 0.829 0.868 0.828
O18 0.868 0.829 0.172

Calculated values
The density comes out at 3.17 g/cm³. For the distance to the lowest polymorph of the same formula, the calculation gives 0.0297 eV per atom. The calculation puts the volume at 341 Å³/cell. The calculation puts the total energy at -199.7 eV/cell. Its uncorrected formation energy is -2501.5 meV/atom. Its space group is C222_1 (20).